Entry 1:
First-principles (PBEsol) data for a geometry-optimized YSiCl3 structure, as listed in the Alexandria database.

The structure belongs to space group Pm-3m (No. 221); the cell edges are 5.220, 5.220 and 5.220 Å and the angles 90.00°, 90.00° and 90.00°. The asymmetric unit holds Y at (0.000, 0.000, 0.000), Si at (0.500, 0.500, 0.500) and Cl at (0.000, 0.000, 0.500).

The electronic total energy is -22.9 eV for the cell shown. For the formation energy from raw total energies, the calculation gives -416.1 kJ/mol of formula units.



Entry 2:
First-principles (PBEsol) data for a geometry-optimized Zn2SiCl structure, as listed in the Alexandria database.

The structure belongs to space group Cmmm (No. 65); the cell edges are 3.735, 5.161 and 7.106 Å and the angles 90.00°, 90.00° and 90.00°. The asymmetric unit holds Zn at (0.000, 0.000, 0.229), Si at (0.000, 0.500, 0.000) and Cl at (0.000, 0.500, 0.500).

The electronic total energy is -21.4 eV for the cell shown. For the formation energy from raw total energies, the calculation gives 20.6 kJ/mol of formula units.



Entry 3:
First-principles (PBEsol) data for a geometry-optimized ZnSiCl structure, as listed in the Alexandria database.

The structure belongs to space group F-43m (No. 216); the cell edges are 6.306, 6.306 and 6.306 Å and the angles 90.00°, 90.00° and 90.00°. The asymmetric unit holds Zn at (0.000, 0.000, 0.000), Si at (0.250, 0.250, 0.750) and Cl at (0.250, 0.250, 0.250).

The electronic total energy is -30.4 eV for the cell shown. For the formation energy from raw total energies, the calculation gives 168.3 kJ/mol of formula units.



> Which of these has the lowest formation energy from raw total energies?

YSiCl3